Density functional theory data (GGA-PBE) for a relaxed NiHgRu2 crystal.

Values from the calculation:
The space group is Pmmm, No. 47. Its formation energy is 2.36 eV/f.u.

Geometry as CIF:
```
data_NiHgRu2
_cell_length_a 2.862
_cell_length_b 4.530
_cell_length_c 4.692
_cell_angle_alpha 90.00
_cell_angle_beta 90.00
_cell_angle_gamma 90.00
_symmetry_space_group_name_H-M 'P 1'
_symmetry_Int_Tables_number 1
loop_
_symmetry_equiv_pos_as_xyz
'x,y,z'
loop_
_atom_site_label
_atom_site_type_symbol
_atom_site_fract_x
_atom_site_fract_y
_atom_site_fract_z
Ni1 Ni 0.000 0.000 0.000
Hg1 Hg 0.500 0.500 0.000
Ru1 Ru 0.000 0.500 0.500
Ru2 Ru 0.500 0.000 0.500
```